[1]
The following is a GGA-PBE calculation of a geometry-optimized NpPa2Sn structure, from Alexandria.

Cell lengths 3.8204, 3.8204, 6.6103 Å; angles 90.00, 90.00, 90.00 degrees
Space group P4/mmm (No. 123)
Symmetry-distinct sites (fractional):
Np (0.0000, 0.0000, 0.0000) [1 per cell]
Pa (0.5000, 0.5000, 0.2307) [2 per cell]
Sn (0.0000, 0.0000, 0.5000) [1 per cell]

* calculated formation energy: 0.082 eV/atom
* ΔE to the lowest computed polymorph: 2.94 kcal/mol of atoms
* size of the total moment: 1.086 μB/atom

***

[2]
The following is a GGA-PBE calculation of a geometry-optimized Be2ZnFe2 structure, from Alexandria.

Cell lengths 6.5750, 6.5750, 2.4971 Å; angles 90.00, 90.00, 90.00 degrees
Space group P4/mbm (No. 127)
Symmetry-distinct sites (fractional):
Be (0.1717, 0.3283, 0.0000) [4 per cell]
Zn (0.0000, 0.0000, 0.5000) [2 per cell]
Fe (0.1243, 0.6243, 0.5000) [4 per cell]

* calculated formation energy: 0.082 eV/atom
* ΔE to the lowest computed polymorph: 3.10 kcal/mol of atoms
* size of the total moment: 0.706 μB/atom

***

[3]
The following is a GGA-PBE calculation of a geometry-optimized Pr3GaI structure, from Alexandria.

Cell lengths 4.3040, 9.2350, 8.5202 Å; angles 90.00, 90.00, 90.00 degrees
Space group Pmmn (No. 59, origin choice 2)
Symmetry-distinct sites (fractional):
Pr (0.2500, 0.0636, 0.1657) [4 per cell]
Pr (0.2500, 0.2500, 0.7450) [2 per cell]
Ga (0.2500, 0.7500, 0.0143) [2 per cell]
I (0.2500, 0.7500, 0.5648) [2 per cell]

* raw total energy: -42.69 eV/cell
* size of the total moment: 0.000 μB/atom

***

[4]
The following is a GGA-PBE calculation of a geometry-optimized HfCuBPb2 structure, from Alexandria.

Cell lengths 4.8520, 4.8520, 4.5853 Å; angles 90.00, 90.00, 90.00 degrees
Space group P4/mmm (No. 123)
Symmetry-distinct sites (fractional):
Hf (0.0000, 0.0000, 0.0000) [1 per cell]
Cu (0.5000, 0.5000, 0.0000) [1 per cell]
B (0.0000, 0.0000, 0.5000) [1 per cell]
Pb (0.0000, 0.5000, 0.5000) [2 per cell]

* calculated formation energy: 0.687 eV/atom
* size of the total moment: 0.000 μB/atom